# 1
Ca5Tl2Au2 after structural relaxation. Source: Alexandria via LeMat-Bulk, functional PBE.

Lattice parameters (Å, degrees): 8.0231 7.9625 9.2427 90.00 64.28 90.00
With the nearest neighbours (Å) after each atom.
Element x y z (fractional)
1 Ca 0.0000 0.0000 0.0000  4 Au 3.13-3.16
2 Ca 0.5000 0.5000 0.0000  4 Au 3.13-3.16
3 Ca 0.4527 0.1719 0.7446  3 Au 3.09-3.24, 3 Tl 3.26-3.31
4 Ca 0.8027 0.8281 0.7446  3 Au 3.09-3.24, 3 Tl 3.26-3.31
5 Ca 0.3027 0.6719 0.7446  3 Au 3.09-3.24, 3 Tl 3.26-3.31
6 Ca 0.9527 0.3281 0.7446  3 Au 3.09-3.24, 3 Tl 3.26-3.31
7 Ca 0.5473 0.8281 0.2554  3 Au 3.09-3.24, 3 Tl 3.26-3.31
8 Ca 0.1973 0.1719 0.2554  3 Au 3.09-3.24, 3 Tl 3.26-3.31
9 Ca 0.6973 0.3281 0.2554  3 Au 3.09-3.24, 3 Tl 3.26-3.31
10 Ca 0.0473 0.6719 0.2554  3 Au 3.09-3.24, 3 Tl 3.26-3.31
11 Tl 0.2162 0.0000 0.5676  7 Ca 3.26-3.60
12 Tl 0.7162 0.5000 0.5676  7 Ca 3.26-3.60
13 Tl 0.7838 0.0000 0.4324  7 Ca 3.26-3.60
14 Tl 0.2838 0.5000 0.4324  7 Ca 3.26-3.60
15 Au 0.1273 0.3712 0.0000  1 Au 2.89, 6 Ca 3.09-3.22
16 Au 0.8727 0.6288 0.0000  1 Au 2.89, 6 Ca 3.09-3.22
17 Au 0.3727 0.8712 0.0000  1 Au 2.89, 6 Ca 3.09-3.22
18 Au 0.6273 0.1288 0.0000  1 Au 2.89, 6 Ca 3.09-3.22

space-group type = Cmce
total magnetic moment = 0.00 Bohr magnetons per cell


# 2
Ca4TlAu after structural relaxation. Source: Alexandria via LeMat-Bulk, functional PBE.

Lattice parameters (Å, degrees): 6.5932 8.5843 8.5843 112.27 105.60 105.60
With the nearest neighbours (Å) after each atom.
Element x y z (fractional)
1 Ca 0.7960 0.6410 0.7721  2 Au 3.09-3.12, 2 Tl 3.30-3.37
2 Ca 0.0812 0.9434 0.2961  2 Au 3.15-3.19, 2 Tl 3.31-3.33
3 Ca 0.7040 0.2279 0.3590  2 Au 3.09-3.12, 2 Tl 3.30-3.37
4 Ca 0.4188 0.7039 0.0566  2 Au 3.15-3.19, 2 Tl 3.31-3.33
5 Ca 0.5812 0.2961 0.9434  2 Au 3.15-3.19, 2 Tl 3.31-3.33
6 Ca 0.2960 0.7721 0.6410  2 Au 3.09-3.12, 2 Tl 3.30-3.37
7 Ca 0.9188 0.0566 0.7039  2 Au 3.15-3.19, 2 Tl 3.31-3.33
8 Ca 0.2040 0.3590 0.2279  2 Au 3.09-3.12, 2 Tl 3.30-3.37
9 Tl 0.7500 0.6324 0.3676  8 Ca 3.30-3.37
10 Tl 0.2500 0.3676 0.6324  8 Ca 3.30-3.37
11 Au 0.2500 0.9975 0.0025  8 Ca 3.09-3.19, 2 Au 3.30
12 Au 0.7500 0.0025 0.9975  8 Ca 3.09-3.19, 2 Au 3.30

space-group type = C2/c
total magnetic moment = 0.00 Bohr magnetons per cell
offset from the most stable computed form = 0 meV/atom


no.,ΔE_f (eV/atom)
1,-0.54
2,-0.44